Density functional theory data (GGA+U) for KSrEuWO6 after structural relaxation.

The structure in extended XYZ format:
```
10
Lattice="-3.364 -2.200 -4.455 -4.552 3.231 -2.199 0.383 2.368 -5.500" Properties=species:S:1:pos:R:3 pbc="T T T"
K -1.883 0.850 -3.038
Sr -5.650 2.550 -9.115
Eu 0.000 0.000 0.000
W -3.766 1.700 -6.077
O -4.128 2.404 -4.293
O -3.405 0.996 -7.860
O -3.952 3.494 -6.823
O -3.581 -0.094 -5.331
O -1.858 2.007 -5.811
O -5.675 1.393 -6.342
```

Computed properties:
crystal system	cubic
theoretical density	6.07	Mg/m³
electronic total energy	-0.272	Ha/atom